The following is a DFT calculation (PBE) of crystalline LaNiSn2Ir at its relaxed geometry.

VASP energy, eV per cell: -60.8

CIF file:
```
data_LaNiSn2Ir
_cell_length_a 4.472
_cell_length_b 4.472
_cell_length_c 10.566
_cell_angle_alpha 90.00
_cell_angle_beta 90.00
_cell_angle_gamma 90.00
_space_group_name_H-M_alt 'P 4/n m m'
_space_group_IT_number 129
loop_
_space_group_symop_operation_xyz
'x,y,z'
'-x,-y,-z'
'-y+1/2,x,z'
'y+1/2,-x,-z'
'-x+1/2,-y+1/2,z'
'x+1/2,y+1/2,-z'
'y,-x+1/2,z'
'-y,x+1/2,-z'
'x+1/2,-y,-z'
'-x+1/2,y,z'
'-y,-x,-z'
'y,x,z'
'-x,y+1/2,-z'
'x,-y+1/2,z'
'y+1/2,x+1/2,-z'
'-y+1/2,-x+1/2,z'
loop_
_atom_site_label
_atom_site_type_symbol
_atom_site_fract_x
_atom_site_fract_y
_atom_site_fract_z
La1 La 0.250 0.250 0.246
Ni1 Ni 0.250 0.250 0.624
Sn1 Sn 0.250 0.250 0.861
Sn2 Sn 0.250 0.750 0.500
Ir1 Ir 0.250 0.750 0.000
```